1.
CeGa4NiPd2, optimized geometry, DFT GGA-PBE; density of states at the Fermi level = 9.11 states/eV per cell; calculated formation energy = -561 meV per atom; theoretical density = 8.318 g/cm³; volume = 137.9 Å³/cell; size of the total moment = 0.088 μB per atom; space-group type = No. 166
1.0
4.273 0.000 0.000
2.137 3.701 0.000
2.137 1.234 8.716
Ce Ga Ni Pd
1 4 1 2
direct
0.000 0.000 0.000 Ce
0.402 0.402 0.795 Ga
0.866 0.866 0.401 Ga
0.134 0.134 0.599 Ga
0.598 0.598 0.205 Ga
0.500 0.500 0.500 Ni
0.764 0.764 0.707 Pd
0.236 0.236 0.293 Pd

=====

2.
Hg2SbS4, optimized geometry, DFT GGA-PBE; density of states at the Fermi level = 5.04 states/eV per cell; theoretical density = 6.044 g/cm³; volume = 178.9 Å³/cell; size of the total moment = 0.128 μB per atom; energy above the most stable polymorph in this dataset = 248 kJ/mol of formula units; space-group type = No. 139
1.0
5.253 0.000 0.000
0.000 5.253 0.000
2.627 2.627 6.483
Sb S Hg
1 4 2
direct
0.000 0.000 0.000 Sb
0.198 0.198 0.604 S
0.802 0.802 0.396 S
0.000 0.500 0.000 S
0.500 0.000 0.000 S
0.385 0.385 0.229 Hg
0.615 0.615 0.771 Hg

=====

3.
ZrV3Sn, optimized geometry, DFT GGA-PBE; density of states at the Fermi level = 7.33 states/eV per cell; calculated formation energy = 1414 meV per atom; theoretical density = 5.471 g/cm³; volume = 110.1 Å³/cell; size of the total moment = 0.193 μB per atom; energy above the most stable polymorph in this dataset = 0 kJ/mol of formula units; space-group type = No. 221
1.0
4.793 0.000 0.000
0.000 4.793 0.000
0.000 0.000 4.793
Sn Zr V
1 1 3
direct
0.000 0.000 0.000 Sn
0.500 0.500 0.500 Zr
0.000 0.500 0.000 V
0.000 0.000 0.500 V
0.500 0.000 0.000 V

=====

4.
Ag2HgI2Cl2, optimized geometry, DFT GGA-PBE; theoretical density = 5.929 g/cm³; volume = 207.5 Å³/cell; size of the total moment = 0.000 μB per atom; raw total energy = -15.16 eV/cell; space-group type = No. 12
1.0
4.322 0.000 0.000
2.161 8.468 0.764
2.161 3.839 6.017
Ag Hg I Cl
2 1 2 2
direct
0.255 0.264 0.227 Ag
0.745 0.736 0.773 Ag
0.000 0.000 0.000 Hg
0.618 0.140 0.625 I
0.382 0.860 0.375 I
0.146 0.638 0.071 Cl
0.854 0.362 0.929 Cl